No. 1
First-principles (PBE) data for a relaxed Fe2Rh3 crystal, as listed in Alexandria.

Energy above the most stable polymorph in this dataset = 16 meV per atom
ΔE_f = 9 meV/atom

POSCAR file:
```
Fe2Rh3
1.0
-1.353 1.860 6.674
1.353 -1.860 6.674
1.353 1.860 -6.674
Fe Rh
2 3
Direct
0.200 0.200 0.000 Fe
0.800 0.800 0.000 Fe
0.000 0.000 0.000 Rh
0.393 0.393 0.000 Rh
0.607 0.607 0.000 Rh
```

No. 2
First-principles (PBE) data for a relaxed KMn2Fe crystal, as listed in Alexandria.

Energy above the most stable polymorph in this dataset = 341 meV per atom
ΔE_f = 1039 meV/atom

POSCAR file:
```
KMn2Fe
1.0
1.308 0.755 9.681
-1.308 0.755 9.681
0.000 -1.510 9.681
K Mn Fe
1 2 1
Direct
0.000 0.000 0.000 K
0.232 0.232 0.232 Mn
0.768 0.768 0.768 Mn
0.500 0.500 0.500 Fe
```

No. 3
First-principles (PBE) data for a relaxed NdHoSiAg crystal, as listed in Alexandria.

Formation energy from raw total energies = -0.420 eV per atom

POSCAR file:
```
NdHoSiAg
1.0
0.000 3.624 3.624
3.624 0.000 3.624
3.624 3.624 0.000
Nd Ho Si Ag
1 1 1 1
Direct
0.000 0.000 0.000 Nd
0.500 0.500 0.500 Ho
0.250 0.250 0.250 Si
0.750 0.750 0.750 Ag
```

No. 4
First-principles (PBE) data for a relaxed CaTb2Hg7 crystal, as listed in Alexandria.

ΔE_f = -295 meV/atom

POSCAR file:
```
CaTb2Hg7
1.0
5.049 0.000 0.000
-2.525 4.373 0.000
0.000 0.000 12.082
Ca Tb Hg
1 2 7
Direct
0.000 0.000 0.000 Ca
0.333 0.667 0.654 Tb
0.667 0.333 0.447 Tb
0.000 0.000 0.296 Hg
0.000 0.000 0.566 Hg
0.333 0.667 0.138 Hg
0.333 0.667 0.389 Hg
0.333 0.667 0.895 Hg
0.667 0.333 0.158 Hg
0.667 0.333 0.783 Hg
```

No. 5
First-principles (PBE) data for a relaxed ErPaNi2P2 crystal, as listed in Alexandria.

ΔE_f = -1169 meV/atom

POSCAR file:
```
ErPaNi2P2
1.0
3.886 0.000 0.000
-1.943 3.366 0.000
0.000 0.000 7.677
Er Pa Ni P
1 1 2 2
Direct
0.000 0.000 0.000 Er
0.000 0.000 0.500 Pa
0.333 0.667 0.270 Ni
0.667 0.333 0.730 Ni
0.333 0.667 0.759 P
0.667 0.333 0.241 P
```

No. 6
First-principles (PBE) data for a relaxed Tb5TmBi6 crystal, as listed in Alexandria.

ΔE_f = -863 meV/atom

POSCAR file:
```
Tb5TmBi6
1.0
3.881 -6.722 0.000
3.881 6.722 0.000
-2.588 0.000 7.315
Tb Tm Bi
5 1 6
Direct
0.000 0.000 0.000 Tb
0.166 0.834 0.500 Tb
0.332 0.668 0.000 Tb
0.668 0.332 0.000 Tb
0.834 0.166 0.500 Tb
0.500 0.500 0.500 Tm
0.087 0.417 0.252 Bi
0.252 0.252 0.749 Bi
0.417 0.087 0.252 Bi
0.583 0.913 0.748 Bi
0.748 0.748 0.251 Bi
0.913 0.583 0.748 Bi
```

No. 7
First-principles (PBE) data for a relaxed Sr2MgCo crystal, as listed in Alexandria.

ΔE_f = 301 meV/atom

POSCAR file:
```
Sr2MgCo
1.0
6.439 -1.867 0.000
6.439 1.867 0.000
-2.415 0.000 5.037
Sr Mg Co
2 1 1
Direct
0.000 0.000 0.000 Sr
0.193 0.193 0.692 Sr
0.379 0.379 0.379 Mg
0.720 0.720 0.219 Co
```

No. 8
First-principles (PBE) data for a relaxed Mn2AgMo crystal, as listed in Alexandria.

Energy above the most stable polymorph in this dataset = 132 meV per atom
ΔE_f = 419 meV/atom

POSCAR file:
```
Mn2AgMo
1.0
-1.646 2.088 4.324
1.646 -2.088 4.324
1.646 2.088 -4.324
Mn Ag Mo
2 1 1
Direct
0.000 0.000 0.000 Mn
0.750 0.250 0.500 Mn
0.492 0.492 0.000 Ag
0.227 0.727 0.500 Mo
```

No. 9
First-principles (PBE) data for a relaxed MnRh2Pb crystal, as listed in Alexandria.

ΔE_f = 186 meV/atom

POSCAR file:
```
MnRh2Pb
1.0
0.000 3.210 3.210
3.210 0.000 3.210
3.210 3.210 0.000
Mn Rh Pb
1 2 1
Direct
0.000 0.000 0.000 Mn
0.250 0.250 0.250 Rh
0.500 0.500 0.500 Rh
0.750 0.750 0.750 Pb
```

No. 10
First-principles (PBE) data for a relaxed TcHg2I8 crystal, as listed in Alexandria.

Formation energy from raw total energies = -0.141 eV per atom

POSCAR file:
```
TcHg2I8
1.0
6.725 -5.590 0.000
6.725 5.590 0.000
-0.978 0.000 7.045
Tc Hg I
1 2 8
Direct
0.000 0.000 0.000 Tc
0.206 0.206 0.636 Hg
0.794 0.794 0.364 Hg
0.106 0.755 0.216 I
0.186 0.186 0.225 I
0.245 0.894 0.784 I
0.402 0.402 0.786 I
0.598 0.598 0.214 I
0.755 0.106 0.216 I
0.814 0.814 0.775 I
0.894 0.245 0.784 I
```

No. 11
First-principles (PBE) data for a relaxed Er6Ge2SbTe3 crystal, as listed in Alexandria.

Formation energy from raw total energies = -1.192 eV per atom

POSCAR file:
```
Er6Ge2SbTe3
1.0
9.339 -2.127 0.000
9.339 2.127 0.000
-2.044 0.000 8.363
Er Ge Sb Te
6 2 1 3
Direct
0.011 0.011 0.251 Er
0.326 0.326 0.433 Er
0.332 0.332 0.889 Er
0.668 0.668 0.111 Er
0.674 0.674 0.567 Er
0.989 0.989 0.749 Er
0.168 0.168 0.335 Ge
0.832 0.832 0.665 Ge
0.500 0.500 0.000 Sb
0.163 0.163 0.834 Te
0.500 0.500 0.500 Te
0.837 0.837 0.166 Te
```

No. 12
First-principles (PBE) data for a relaxed LiSiN2F crystal, as listed in Alexandria.

Energy above the most stable polymorph in this dataset = 0 meV per atom
Formation energy from raw total energies = -0.692 eV per atom

POSCAR file:
```
LiSiN2F
1.0
3.441 0.000 0.000
0.000 3.441 0.000
0.000 0.000 4.209
Li Si N F
1 1 2 1
Direct
0.000 0.000 0.000 Li
0.500 0.500 0.500 Si
0.000 0.500 0.500 N
0.500 0.000 0.500 N
0.500 0.500 0.000 F
```

No. 13
First-principles (PBE) data for a relaxed PuMnCrGe crystal, as listed in Alexandria.

ΔE_f = -10 meV/atom

POSCAR file:
```
PuMnCrGe
1.0
0.000 3.107 3.107
3.107 0.000 3.107
3.107 3.107 0.000
Pu Mn Cr Ge
1 1 1 1
Direct
0.000 0.000 0.000 Pu
0.250 0.250 0.250 Mn
0.750 0.750 0.750 Cr
0.500 0.500 0.500 Ge
```

No. 14
First-principles (PBE) data for a relaxed Y6As2PbS3 crystal, as listed in Alexandria.

Formation energy from raw total energies = -1.583 eV per atom

POSCAR file:
```
Y6As2PbS3
1.0
8.907 -2.032 0.000
8.907 2.032 0.000
-1.831 0.000 8.007
Y As Pb S
6 2 1 3
Direct
0.000 0.000 0.230 Y
0.000 0.000 0.770 Y
0.327 0.327 0.412 Y
0.332 0.332 0.917 Y
0.668 0.668 0.083 Y
0.673 0.673 0.588 Y
0.167 0.167 0.835 As
0.833 0.833 0.165 As
0.500 0.500 0.500 Pb
0.166 0.166 0.332 S
0.500 0.500 0.000 S
0.834 0.834 0.668 S
```

No. 15
First-principles (PBE) data for a relaxed LiY2Cr crystal, as listed in Alexandria.

ΔE_f = 433 meV/atom

POSCAR file:
```
LiY2Cr
1.0
0.000 3.636 3.636
3.636 0.000 3.636
3.636 3.636 0.000
Li Y Cr
1 2 1
Direct
0.000 0.000 0.000 Li
0.250 0.250 0.250 Y
0.500 0.500 0.500 Y
0.750 0.750 0.750 Cr
```

No. 16
First-principles (PBE) data for a relaxed Na3SO4F crystal, as listed in Alexandria.

Energy above the most stable polymorph in this dataset = 0 meV per atom
Formation energy from raw total energies = -2.023 eV per atom

POSCAR file:
```
Na3SO4F
1.0
11.593 0.000 0.000
0.000 7.029 0.000
-5.517 0.000 17.445
Na S O F
36 12 48 12
Direct
0.000 0.000 0.000 Na
0.000 0.500 0.000 Na
0.029 0.028 0.279 Na
0.029 0.472 0.279 Na
0.097 0.750 0.606 Na
0.126 0.750 0.884 Na
0.184 0.750 0.148 Na
0.188 0.018 0.465 Na
0.188 0.482 0.465 Na
0.267 0.000 0.756 Na
0.267 0.500 0.756 Na
0.292 0.523 0.030 Na
0.292 0.977 0.030 Na
0.299 0.250 0.348 Na
0.396 0.250 0.614 Na
0.438 0.250 0.895 Na
0.449 0.523 0.226 Na
0.449 0.977 0.226 Na
0.500 0.000 0.500 Na
0.500 0.500 0.500 Na
0.551 0.023 0.774 Na
0.551 0.477 0.774 Na
0.562 0.750 0.105 Na
0.604 0.750 0.386 Na
0.701 0.750 0.652 Na
0.708 0.023 0.970 Na
0.708 0.477 0.970 Na
0.733 0.000 0.244 Na
0.733 0.500 0.244 Na
0.812 0.518 0.535 Na
0.812 0.982 0.535 Na
0.816 0.250 0.852 Na
0.874 0.250 0.116 Na
0.903 0.250 0.394 Na
0.971 0.528 0.721 Na
0.971 0.972 0.721 Na
0.084 0.250 0.598 S
0.119 0.250 0.870 S
0.193 0.250 0.162 S
0.297 0.750 0.346 S
0.387 0.750 0.624 S
0.455 0.750 0.914 S
0.545 0.250 0.086 S
0.613 0.250 0.376 S
0.703 0.250 0.654 S
0.807 0.750 0.838 S
0.881 0.750 0.130 S
0.916 0.750 0.402 S
0.001 0.250 0.808 O
0.038 0.750 0.461 O
0.097 0.076 0.646 O
0.097 0.424 0.646 O
0.099 0.250 0.202 O
0.128 0.077 0.918 O
0.128 0.423 0.918 O
0.179 0.077 0.113 O
0.179 0.423 0.113 O
0.180 0.250 0.559 O
0.220 0.250 0.835 O
0.224 0.576 0.348 O
0.224 0.924 0.348 O
0.278 0.750 0.555 O
0.317 0.250 0.220 O
0.335 0.750 0.275 O
0.346 0.750 0.694 O
0.357 0.750 0.951 O
0.405 0.750 0.415 O
0.424 0.250 0.026 O
0.445 0.576 0.865 O
0.445 0.924 0.865 O
0.461 0.577 0.624 O
0.461 0.923 0.624 O
0.539 0.077 0.376 O
0.539 0.423 0.376 O
0.555 0.076 0.135 O
0.555 0.424 0.135 O
0.576 0.750 0.974 O
0.595 0.250 0.585 O
0.643 0.250 0.049 O
0.654 0.250 0.306 O
0.665 0.250 0.725 O
0.683 0.750 0.780 O
0.722 0.250 0.445 O
0.776 0.076 0.652 O
0.776 0.424 0.652 O
0.780 0.750 0.165 O
0.820 0.750 0.441 O
0.821 0.577 0.887 O
0.821 0.923 0.887 O
0.872 0.577 0.082 O
0.872 0.923 0.082 O
0.901 0.750 0.798 O
0.903 0.576 0.354 O
0.903 0.924 0.354 O
0.962 0.250 0.539 O
0.999 0.750 0.192 O
0.092 0.250 0.378 F
0.124 0.750 0.011 F
0.137 0.750 0.763 F
0.357 0.250 0.478 F
0.374 0.750 0.124 F
0.395 0.250 0.741 F
0.605 0.750 0.259 F
0.626 0.250 0.876 F
0.643 0.750 0.522 F
0.863 0.250 0.237 F
0.876 0.250 0.989 F
0.908 0.750 0.622 F
```

No. 17
First-principles (PBE) data for a relaxed Rb2GaCl4 crystal, as listed in Alexandria.

Energy above the most stable polymorph in this dataset = 106 meV per atom
Formation energy from raw total energies = -1.400 eV per atom

POSCAR file:
```
Rb2GaCl4
1.0
-3.823 3.823 4.306
3.823 -3.823 4.306
3.823 3.823 -4.306
Rb Ga Cl
2 1 4
Direct
0.250 0.750 0.500 Rb
0.750 0.250 0.500 Rb
0.000 0.000 0.000 Ga
0.231 0.231 0.463 Cl
0.233 0.769 0.000 Cl
0.767 0.767 0.537 Cl
0.769 0.233 0.000 Cl
```

No. 18
First-principles (PBE) data for a relaxed MnCu2Re crystal, as listed in Alexandria.

Energy above the most stable polymorph in this dataset = 21 meV per atom
ΔE_f = 210 meV/atom

POSCAR file:
```
MnCu2Re
1.0
3.007 0.000 0.000
0.000 3.007 0.000
0.000 0.000 5.693
Mn Cu Re
1 2 1
Direct
0.000 0.000 0.000 Mn
0.000 0.000 0.518 Cu
0.500 0.500 0.741 Cu
0.500 0.500 0.232 Re
```

No. 19
First-principles (PBE) data for a relaxed GaAsIrI2 crystal, as listed in Alexandria.

Formation energy from raw total energies = 1.342 eV per atom

POSCAR file:
```
GaAsIrI2
1.0
5.446 0.000 0.000
0.000 5.446 0.000
0.000 0.000 4.886
Ga As Ir I
1 1 1 2
Direct
0.000 0.000 0.000 Ga
0.000 0.000 0.500 As
0.500 0.500 0.500 Ir
0.000 0.500 0.000 I
0.500 0.000 0.000 I
```

No. 20
First-principles (PBE) data for a relaxed NaGa5Rh2 crystal, as listed in Alexandria.

ΔE_f = -354 meV/atom

POSCAR file:
```
NaGa5Rh2
1.0
-1.914 3.624 5.215
1.914 -3.624 5.215
1.914 3.624 -5.215
Na Ga Rh
1 5 2
Direct
0.000 0.000 0.000 Na
0.153 0.360 0.794 Ga
0.434 0.640 0.794 Ga
0.500 0.000 0.500 Ga
0.566 0.360 0.206 Ga
0.847 0.640 0.206 Ga
0.266 0.766 0.500 Rh
0.734 0.234 0.500 Rh
```

No. 21
First-principles (PBE) data for a relaxed MnSBr2 crystal, as listed in Alexandria.

Energy above the most stable polymorph in this dataset = 417 meV per atom
Formation energy from raw total energies = 0.877 eV per atom

POSCAR file:
```
MnSBr2
1.0
1.490 0.861 11.633
-1.490 0.861 11.633
0.000 -1.721 11.633
Mn S Br
1 1 2
Direct
0.000 0.000 0.000 Mn
0.500 0.500 0.500 S
0.065 0.065 0.065 Br
0.935 0.935 0.935 Br
```

| no. | magnetic moment (μB/f.u.) |
| --- | --- |
| 1 | 5.90 |
| 2 | 2.42 |
| 3 | 0.00 |
| 4 | 0.00 |
| 5 | 0.00 |
| 6 | 0.00 |
| 7 | 0.70 |
| 8 | 4.42 |
| 9 | 3.97 |
| 10 | 3.04 |
| 11 | 0.00 |
| 12 | 0.00 |
| 13 | 1.53 |
| 14 | 0.00 |
| 15 | 4.24 |
| 16 | 0.04 |
| 17 | 0.72 |
| 18 | 2.14 |
| 19 | 2.40 |
| 20 | 0.00 |
| 21 | 0.00 |